The following is a DFT calculation (PBE-GGA) of Te2CSI after structural relaxation.

Final energy   -2.923 eV per atom
Magnetization   0.00 μB per cell
E above lowest polymorph   0 meV/atom
DOS(E_F)   0.836 states/eV per atom

a b c (Å): 4.8209 4.8209 4.9187
angles (deg): 90.00 90.00 90.00
Atoms (fractional coordinates):
I1 0.0000 0.0000 0.5000
S1 0.5000 0.5000 0.5000
Te1 0.0000 0.5000 0.0000
Te2 0.5000 0.0000 0.0000
C1 0.0000 0.0000 0.0000



The following is a DFT calculation (PBE-GGA) of KYC after structural relaxation.

Final energy   -5.396 eV per atom
Magnetization   0.00 μB per cell
E above lowest polymorph   266 meV/atom
ΔH_f (0 K)   0.199 eV/atom
DOS(E_F)   0.968 states/eV per atom

a b c (Å): 5.8146 9.9626 3.5904
angles (deg): 78.41 72.08 87.47
Atoms (fractional coordinates):
Y1 0.8287 0.9436 0.4071
Y2 0.3069 0.1003 0.5800
K1 0.3106 0.6960 0.8029
K2 0.8027 0.3755 0.6752
C1 0.2552 0.9318 0.1999
C2 0.5022 0.9419 0.0706



The following is a DFT calculation (PBE-GGA) of Sr2Cu4HgAs3 after structural relaxation.

Final energy   -3.848 eV per atom
Magnetization   0.00 μB per cell
ΔH_f (0 K)   -0.448 eV/atom
DOS(E_F)   0.292 states/eV per atom

a b c (Å): 4.3136 4.3136 10.5912
angles (deg): 90.00 90.00 90.00
Atoms (fractional coordinates):
Sr1 0.5000 0.0000 0.2370
Sr2 0.0000 0.5000 0.7630
Cu1 0.5000 0.5000 0.0000
Cu2 0.0000 0.0000 0.0000
Cu3 0.5000 0.0000 0.6449
Cu4 0.0000 0.5000 0.3551
Hg1 0.5000 0.5000 0.5000
As1 0.0000 0.0000 0.5000
As2 0.5000 0.0000 0.8720
As3 0.0000 0.5000 0.1280



The following is a DFT calculation (PBE-GGA) of La8Pr2Pb after structural relaxation.

Final energy   -4.893 eV per atom
Magnetization   0.00 μB per cell
ΔH_f (0 K)   -0.103 eV/atom
DOS(E_F)   1.430 states/eV per atom

a b c (Å): 5.0880 8.3350 9.8197
angles (deg): 104.76 105.01 90.00
Atoms (fractional coordinates):
La1 0.5896 0.4426 0.1791
La2 0.3245 0.0884 0.6490
La3 0.1344 0.1790 0.2688
La4 0.0446 0.7350 0.0891
La5 0.8656 0.8210 0.7312
La6 0.6755 0.9116 0.3510
La7 0.4104 0.5574 0.8209
La8 0.9554 0.2650 0.9108
Pr1 0.2271 0.6379 0.4542
Pr2 0.7729 0.3621 0.5458
Pb1 0.5000 0.0000 0.0000



The following is a DFT calculation (PBE-GGA) of Ca4Hf after structural relaxation.

Final energy   -2.828 eV per atom
Magnetization   0.96 μB per cell
ΔH_f (0 K)   0.764 eV/atom
DOS(E_F)   2.161 states/eV per atom

a b c (Å): 5.9131 5.9131 5.9131
angles (deg): 90.00 90.00 90.00
Site moments in Bohr magnetons follow the coordinates.
Atoms (fractional coordinates):
Ca1 0.0000 0.0000 0.0000  -0.01
Ca2 0.5000 0.0000 0.5000  0.04
Ca3 0.0000 0.5000 0.5000  0.04
Ca4 0.5000 0.5000 0.0000  0.04
Hf1 0.5000 0.5000 0.5000  0.42



The following is a DFT calculation (PBE-GGA) of Ba2ScTc after structural relaxation.

Final energy   -4.239 eV per atom
Magnetization   0.69 μB per cell
E above lowest polymorph   550 meV/atom
ΔH_f (0 K)   0.896 eV/atom
DOS(E_F)   1.473 states/eV per atom

a b c (Å): 6.2882 6.2882 6.2882
angles (deg): 135.55 135.55 64.68
Site moments in Bohr magnetons follow the coordinates.
Atoms (fractional coordinates):
Ba1 0.0000 0.0000 0.0000  -0.09
Ba2 0.5000 0.5000 0.0000  -0.09
Sc1 0.2500 0.7500 0.5000  -0.31
Tc1 0.7500 0.2500 0.5000  1.39



The following is a DFT calculation (PBE-GGA) of Fe3Re after structural relaxation.

Final energy   -9.375 eV per atom
Magnetization   6.98 μB per cell
ΔH_f (0 K)   0.084 eV/atom
DOS(E_F)   0.735 states/eV per atom

a b c (Å): 4.8524 2.5453 4.8524
angles (deg): 100.07 117.01 100.07
Site moments in Bohr magnetons follow the coordinates.
Atoms (fractional coordinates):
Re1 0.5000 0.5000 0.0000  -0.04
Fe1 0.0000 0.0000 0.0000  2.36
Fe2 0.0000 0.5000 0.5000  2.36
Fe3 0.5000 0.0000 0.5000  2.36



The following is a DFT calculation (PBE-GGA) of CsAgTe4 after structural relaxation.

Final energy   -2.992 eV per atom
Magnetization   0.00 μB per cell
DOS(E_F)   0.344 states/eV per atom

a b c (Å): 5.5838 12.0141 10.1545
angles (deg): 84.18 126.81 79.82
Atoms (fractional coordinates):
Cs1 0.4901 0.2817 0.8916
Cs2 0.5099 0.7183 0.1084
Ag1 0.0000 0.0000 0.5000
Ag2 0.5000 0.5000 0.5000
Te1 0.0048 0.0404 0.7699
Te2 0.5515 0.4025 0.2806
Te3 0.9952 0.9596 0.2301
Te4 0.4485 0.5975 0.7194
Te5 0.8270 0.6661 0.6037
Te6 0.4215 0.0453 0.1831
Te7 0.1730 0.3339 0.3963
Te8 0.5785 0.9547 0.8169



The following is a DFT calculation (PBE-GGA) of Cd2PO after structural relaxation.

Final energy   -3.335 eV per atom
Magnetization   0.00 μB per cell
E above lowest polymorph   0 meV/atom
DOS(E_F)   0.868 states/eV per atom

a b c (Å): 5.6864 5.6864 6.6178
angles (deg): 64.56 64.56 90.00
Atoms (fractional coordinates):
P1 0.0000 0.0000 0.0000
P2 0.7500 0.2500 0.5000
O1 0.5000 0.5000 0.0000
O2 0.2500 0.7500 0.5000
Cd1 0.5751 0.1250 0.2500
Cd2 0.1749 0.6250 0.2500
Cd3 0.3750 0.4249 0.7500
Cd4 0.8750 0.8251 0.7500



The following is a DFT calculation (PBE-GGA) of Tm7PuPb4 after structural relaxation.

Final energy   -5.029 eV per atom
Magnetization   7.63 μB per cell
ΔH_f (0 K)   0.009 eV/atom
DOS(E_F)   1.517 states/eV per atom

a b c (Å): 5.5651 9.3816 7.8051
angles (deg): 79.79 69.11 72.75
Site moments in Bohr magnetons follow the coordinates.
Atoms (fractional coordinates):
Tm1 0.7906 0.8759 0.5429  0.07
Tm2 0.2094 0.1241 0.4571  0.07
Tm3 0.0774 0.6667 0.1785  0.25
Tm4 0.9226 0.3333 0.8214  0.25
Tm5 0.3485 0.5755 0.7275  0.02
Tm6 0.5000 0.0000 0.0000  0.63
Tm7 0.6515 0.4245 0.2725  0.02
Pu1 0.0000 0.0000 0.0000  5.94
Pb1 0.5762 0.2209 0.6267  -0.01
Pb2 0.4238 0.7791 0.3733  -0.01
Pb3 0.7129 0.6689 0.9053  -0.02
Pb4 0.2871 0.3311 0.0947  -0.02



The following is a DFT calculation (PBE-GGA) of Zn2CuW after structural relaxation.

Final energy   -4.705 eV per atom
Magnetization   0.00 μB per cell
E above lowest polymorph   90 meV/atom
ΔH_f (0 K)   0.194 eV/atom
DOS(E_F)   0.320 states/eV per atom

a b c (Å): 4.9089 4.9089 2.5738
angles (deg): 90.00 90.00 111.76
Atoms (fractional coordinates):
Cu1 0.5000 0.0000 0.5000
W1 0.0000 0.5000 0.5000
Zn1 0.0000 0.0000 0.0000
Zn2 0.5000 0.5000 0.0000



The following is a DFT calculation (PBE-GGA) of Ce3Ni8Sn after structural relaxation.

Final energy   -6.058 eV per atom
Magnetization   0.00 μB per cell
ΔH_f (0 K)   -0.386 eV/atom
DOS(E_F)   1.243 states/eV per atom

a b c (Å): 5.0449 5.0449 8.7741
angles (deg): 73.29 73.29 60.00
Atoms (fractional coordinates):
Ce1 0.3745 0.3745 0.8765
Ce2 0.0000 0.0000 0.0000
Ce3 0.4997 0.4997 0.5008
Ni1 0.9389 0.4360 0.1891
Ni2 0.4418 0.9365 0.6853
Ni3 0.4360 0.4360 0.1891
Ni4 0.9365 0.9365 0.6853
Ni5 0.1875 0.1875 0.4374
Ni6 0.6871 0.6871 0.9386
Ni7 0.4360 0.9389 0.1891
Ni8 0.9365 0.4418 0.6853
Sn1 0.8754 0.8754 0.3737



The following is a DFT calculation (PBE-GGA) of NaLaTb2 after structural relaxation.

Final energy   -3.722 eV per atom
Magnetization   0.00 μB per cell
E above lowest polymorph   0 meV/atom
ΔH_f (0 K)   0.155 eV/atom
DOS(E_F)   1.502 states/eV per atom

a b c (Å): 3.5844 3.5844 12.4769
angles (deg): 81.74 81.74 60.00
Atoms (fractional coordinates):
Na1 0.6667 0.6667 0.9999
La1 0.4999 0.4999 0.5002
Tb1 0.0854 0.0854 0.7438
Tb2 0.2480 0.2480 0.2560